Density functional theory data (PBE) for Ge2BMo after structural relaxation.

Its density is 7.263 g/cm3. The value obtained for the total energy is -0.415 Ry/atom.

Cell: 4.336 4.336 4.336 Å, 60.00 60.00 60.00°
Fractional coordinates of all 4 atoms:
B1 0.750 0.750 0.750
Ge1 0.000 0.000 0.000
Ge2 0.250 0.250 0.250
Mo1 0.500 0.500 0.500